Entry from the Alexandria database: crystalline MoRu2O at its relaxed geometry (GGA+U).

size of the total moment	0.0	μB per formula unit
VASP energy	-0.25892	Ha/atom

Cell and atoms, written as CIF:
```
data_MoRu2O
_chemical_formula_sum 'Mo4 Ru8 O4'
_space_group_name_H-M_alt 'I -4 2 d'
_space_group_IT_number 122
_space_group_name_Hall 'I -4 2bw'
_cell_length_a 5.0146
_cell_length_b 5.0146
_cell_length_c 10.3804
_cell_angle_alpha 90.00
_cell_angle_beta 90.00
_cell_angle_gamma 90.00
loop_
_atom_site_label
_atom_site_fract_x
_atom_site_fract_y
_atom_site_fract_z
Mo1 0.0000 0.0000 0.0000
Ru1 0.1687 0.2500 0.6250
O1 0.0000 0.0000 0.5000
```